Crystalline Nd3GeSe2 at its relaxed geometry, computed with PBE.

Unit cell a=4.2788 b=6.0106 c=12.7949 alpha=90.00 beta=90.00 gamma=90.00
Closest atoms and distances in Å follow each position.
Fractional coordinates of all 12 atoms:
Nd (0.0000, 0.0000, 0.0000)  2 Ge 3.01, 4 Se 3.03
Nd (0.0000, 0.0000, 0.3391)  2 Ge 2.97, 4 Se 3.01-3.07
Nd (0.0000, 0.0000, 0.6609)  2 Ge 2.97, 4 Se 3.01-3.07
Nd (0.5000, 0.5000, 0.1609)  2 Ge 2.97, 4 Se 3.01-3.07
Nd (0.5000, 0.5000, 0.5000)  2 Ge 3.01, 4 Se 3.03
Nd (0.5000, 0.5000, 0.8391)  2 Ge 2.97, 4 Se 3.01-3.07
Ge (0.0000, 0.5000, 0.0000)  6 Nd 2.97-3.01
Ge (0.5000, 0.0000, 0.5000)  6 Nd 2.97-3.01
Se (0.0000, 0.5000, 0.3326)  6 Nd 3.01-3.07
Se (0.0000, 0.5000, 0.6674)  6 Nd 3.01-3.07
Se (0.5000, 0.0000, 0.1674)  6 Nd 3.01-3.07
Se (0.5000, 0.0000, 0.8326)  6 Nd 3.01-3.07

Raw total energy (eV/atom): -5.91
SG: Immm, No. 71